SrAcNd2: relaxed, PBE.

a b c (Å): 3.7879 3.7879 40.2116
angles (deg): 90.00 90.00 120.00
Space group R-3m (No. 166, hexagonal axes)
Unique sites:
Sr: 0.0000 0.0000 0.0000
Ac: 0.0000 0.0000 0.5000
Nd: 0.0000 0.0000 0.0907

Summary:
**D(E_F)**: 1.75 states/eV/atom
**Polymorph energy (0 for the lowest one)**: 92 meV/atom
**E_form**: 0.186 eV/atom
**Total energy**: -3.645 eV per atom